## AlCoTcPt (GGA-PBE)

Data for an optimized crystal structure of AlCoTcPt.

Its magnetic moment is 0.390 Bohr magnetons per cell. As for the final energy: -27.785 eV for the cell shown. The symmetry is F-43m (216).

a b c (Å): 4.266 4.266 4.266
angles (deg): 60.00 60.00 60.00
Element x y z (fractional)
Al 0.000 0.000 0.000
Co 0.250 0.250 0.250
Tc 0.750 0.750 0.750
Pt 0.500 0.500 0.500

## Y2Al4CoPt (GGA-PBE)

Data for an optimized crystal structure of Y2Al4CoPt.

Its magnetic moment is 0.013 Bohr magnetons per cell. As for the final energy: -47.153 eV for the cell shown. The symmetry is Amm2 (38).

a b c (Å): 7.061 5.537 5.537
angles (deg): 43.57 90.00 90.00
Element x y z (fractional)
Y 0.000 0.000 0.000
Y 0.500 0.123 0.123
Al 0.187 0.716 0.716
Al 0.294 0.401 0.401
Al 0.706 0.401 0.401
Al 0.813 0.716 0.716
Co 0.000 0.274 0.274
Pt 0.500 0.842 0.842

## Zr3Al3Co2Pt (GGA-PBE)

Data for an optimized crystal structure of Zr3Al3Co2Pt.

Its magnetic moment is 0.000 Bohr magnetons per cell. As for the final energy: -63.565 eV for the cell shown. The symmetry is P-62m (189).

a b c (Å): 6.960 6.960 3.545
angles (deg): 90.00 90.00 120.00
Element x y z (fractional)
Zr 0.000 0.585 0.000
Zr 0.415 0.415 0.000
Zr 0.585 0.000 0.000
Al 0.000 0.263 0.500
Al 0.263 0.000 0.500
Al 0.737 0.737 0.500
Co 0.333 0.667 0.500
Co 0.667 0.333 0.500
Pt 0.000 0.000 0.000